# 1
The following is a GGA-PBEsol calculation of HfBe2Fe after structural relaxation, from Alexandria via LeMat-Bulk.

a = 7.8890 Å, b = 7.8890 Å, c = 7.8890 Å
α = 152.30°, β = 152.30°, γ = 39.58°
Closest atoms and distances in Å follow each position.
Sites, in units of the cell vectors:
Hf (0.3750, 0.6250, 0.7500)  4 Fe 2.67, 8 Be 2.81
Hf (0.6250, 0.3750, 0.2500)  4 Fe 2.67, 8 Be 2.81
Be (0.0000, 0.0000, 0.0000)  2 Be 1.89, 2 Fe 2.08
Be (0.0000, 0.0000, 0.5000)  2 Be 1.89, 2 Fe 2.08
Be (0.0000, 0.5000, 0.0000)  2 Be 1.89, 2 Fe 2.08
Be (0.5000, 0.0000, 0.5000)  2 Be 1.89, 2 Fe 2.08
Fe (0.1250, 0.8750, 0.2500)  4 Be 2.08
Fe (0.8750, 0.1250, 0.7500)  4 Be 2.08

Magnetization (Bohr magnetons per cell): 0.0
DFT formation energy (eV/atom): 0.338

=====

# 2
The following is a GGA-PBEsol calculation of HfBe2NbFe after structural relaxation, from Alexandria via LeMat-Bulk.

a = 4.0687 Å, b = 4.0687 Å, c = 4.4355 Å
α = 90.00°, β = 90.00°, γ = 90.00°
Closest atoms and distances in Å follow each position.
Sites, in units of the cell vectors:
Hf (0.0000, 0.0000, 0.0000)  2 Fe 2.22
Be (0.0000, 0.5000, 0.5000)  2 Fe 2.03
Be (0.5000, 0.0000, 0.5000)  2 Fe 2.03
Nb (0.5000, 0.5000, 0.0000)  4 Hf 2.88, 8 Be 3.01
Fe (0.0000, 0.0000, 0.5000)  4 Be 2.03, 2 Hf 2.22

Magnetization (Bohr magnetons per cell): 0.0
DFT formation energy (eV/atom): 0.569

=====

# 3
The following is a GGA-PBEsol calculation of BeFe2Hg after structural relaxation, from Alexandria via LeMat-Bulk.

a = 4.1445 Å, b = 4.1445 Å, c = 4.1445 Å
α = 60.00°, β = 60.00°, γ = 60.00°
Closest atoms and distances in Å follow each position.
Sites, in units of the cell vectors:
Be (0.0000, 0.0000, 0.0000)  4 Hg 2.54, 4 Fe 2.54
Fe (0.5000, 0.5000, 0.5000)  4 Hg 2.54, 4 Fe 2.54
Fe (0.7500, 0.7500, 0.7500)  4 Fe 2.54, 4 Be 2.54
Hg (0.2500, 0.2500, 0.2500)  4 Fe 2.54, 4 Be 2.54

Distance to the lowest polymorph of the same formula (kJ/mol of atoms): 1.60
Magnetization (Bohr magnetons per cell): 4.5
DFT formation energy (eV/atom): 0.338

=====

# 4
The following is a GGA-PBEsol calculation of BeFe2Hg after structural relaxation, from Alexandria via LeMat-Bulk.

a = 4.6054 Å, b = 4.6054 Å, c = 2.6740 Å
α = 90.00°, β = 90.00°, γ = 113.93°
Closest atoms and distances in Å follow each position.
Sites, in units of the cell vectors:
Be (0.0000, 0.0000, 0.0000)  2 Hg 2.51, 8 Fe 2.66, 2 Be 2.67
Fe (0.0000, 0.5000, 0.5000)  4 Fe 2.51-2.67, 4 Hg 2.66, 4 Be 2.66
Fe (0.5000, 0.0000, 0.5000)  4 Fe 2.51-2.67, 4 Hg 2.66, 4 Be 2.66
Hg (0.5000, 0.5000, 0.0000)  2 Be 2.51, 8 Fe 2.66, 2 Hg 2.67

Distance to the lowest polymorph of the same formula (kJ/mol of atoms): 6.48
Magnetization (Bohr magnetons per cell): 4.7
DFT formation energy (eV/atom): 0.388

=====

It is found that the Fermi-level density of states values, taken in the order of the records, are 4.82, 3.20, 2.49, 1.90 states/eV per cell.
It is found that the E_tot values, taken in the order of the records, are -52.23, -35.44, -21.14, -20.94 eV for the cell shown.